<w>
VASP calculation (GGA-PBE) on a geometry-optimized CsScNb2 structure.

The calculation puts the spin magnetization at 0.1 μB/cell. The density of states at the Fermi level is 34.953 states/eV/cell.

The space group is Fm-3m (No. 225) and the conventional cell measures 7.126, 7.126 and 7.126 Å, with angles of 90.00, 90.00 and 90.00 degrees. The inequivalent atoms are Cs at (0.000, 0.000, 0.000), Sc at (0.000, 0.000, 0.500) and Nb at (0.250, 0.250, 0.250).

=====

<x>
VASP calculation (GGA-PBE) on a geometry-optimized CsScNb2 structure.

The calculation puts the spin magnetization at 0.0 μB/cell. The density of states at the Fermi level is 22.719 states/eV/cell.

The space group is I-42d (No. 122) and the conventional cell measures 4.645, 4.645 and 21.313 Å, with angles of 90.00, 90.00 and 90.00 degrees. The inequivalent atoms are Cs at (0.000, 0.000, 0.000), Sc at (0.000, 0.000, 0.500) and Nb at (0.118, 0.250, 0.625).

=====

Q: Which of them is the most stable? A: <x>.

=====

<w>
VASP calculation (GGA-PBE) on a geometry-optimized Cs2ScNb structure.

The calculation puts the spin magnetization at 13.3 μB/cell. The density of states at the Fermi level is 44.823 states/eV/cell.

The space group is Fm-3m (No. 225) and the conventional cell measures 8.833, 8.833 and 8.833 Å, with angles of 90.00, 90.00 and 90.00 degrees. The inequivalent atoms are Cs at (0.250, 0.250, 0.250), Sc at (0.000, 0.000, 0.000) and Nb at (0.000, 0.000, 0.500).

=====

<x>
VASP calculation (GGA-PBE) on a geometry-optimized Cs2ScNb structure.

The calculation puts the spin magnetization at 10.2 μB/cell. The density of states at the Fermi level is 19.212 states/eV/cell.

The space group is I-42d (No. 122) and the conventional cell measures 14.055, 14.055 and 5.041 Å, with angles of 90.00, 90.00 and 90.00 degrees. The inequivalent atoms are Cs at (0.072, 0.250, 0.125), Sc at (0.000, 0.000, 0.500) and Nb at (0.000, 0.000, 0.000).

=====

Q: Which of them is the most stable? A: <x>.

=====

<w>
VASP calculation (GGA-PBE) on a geometry-optimized CsNb3Se structure.

The calculation puts the spin magnetization at 0.0 μB/cell. The density of states at the Fermi level is 3.270 states/eV/cell.

The space group is Pm-3m (No. 221) and the conventional cell measures 5.050, 5.050 and 5.050 Å, with angles of 90.00, 90.00 and 90.00 degrees. The inequivalent atoms are Cs at (0.000, 0.000, 0.000), Nb at (0.000, 0.000, 0.500) and Se at (0.500, 0.500, 0.500).

=====

<x>
VASP calculation (GGA-PBE) on a geometry-optimized CsNb3Se structure.

The calculation puts the spin magnetization at 0.0 μB/cell. The density of states at the Fermi level is 8.984 states/eV/cell.

The space group is Pm-3m (No. 221) and the conventional cell measures 4.982, 4.982 and 4.982 Å, with angles of 90.00, 90.00 and 90.00 degrees. The inequivalent atoms are Cs at (0.000, 0.000, 0.000), Nb at (0.000, 0.500, 0.500) and Se at (0.500, 0.500, 0.500).

=====

Q: Which of them is the most stable? A: <x>.